(1)
A plane-wave DFT calculation with PBEsol was carried out for a relaxed KReCl2 crystal.

- relative energy among the computed polymorphs (meV per atom) = 0
- energy relative to the elements, uncorrected (kcal/mol of atoms) = 6.7
- space group = P4mm

abc: 3.564 3.564 7.109
angles: 90.00 90.00 90.00
Fractional positions:
Re 0.500 0.500 0.890
K 0.000 0.000 0.472
Cl 0.000 0.000 0.897
Cl 0.500 0.500 0.241

(2)
A plane-wave DFT calculation with PBEsol was carried out for a relaxed Te3Rh crystal.

- energy relative to the elements, uncorrected (kcal/mol of atoms) = 13.0
- space group = Pm-3n

abc: 5.696 5.696 5.696
angles: 90.00 90.00 90.00
Fractional positions:
Rh 0.000 0.000 0.000
Rh 0.500 0.500 0.500
Te 0.750 0.500 0.000
Te 0.250 0.500 0.000
Te 0.000 0.750 0.500
Te 0.000 0.250 0.500
Te 0.500 0.000 0.250
Te 0.500 0.000 0.750

(3)
A plane-wave DFT calculation with PBEsol was carried out for a relaxed IrOsW2 crystal.

- relative energy among the computed polymorphs (meV per atom) = 0
- DFT formation energy (meV/atom) = -120
- space group = I4/mmm

abc: 3.904 3.904 4.760
angles: 114.21 114.21 90.00
Fractional positions:
Ir 0.500 0.500 0.000
Os 0.000 0.000 0.000
W 0.750 0.250 0.500
W 0.250 0.750 0.500

(4)
A plane-wave DFT calculation with PBEsol was carried out for a relaxed MnCdOs2 crystal.

- DFT formation energy (meV/atom) = 303
- space group = P4mm

abc: 2.758 2.758 7.885
angles: 90.00 90.00 90.00
Fractional positions:
Cd 0.000 0.000 0.501
Mn 0.500 0.500 0.770
Os 0.000 0.000 0.006
Os 0.500 0.500 0.223

no.,magnetization (μB/cell)
1,3.294
2,0.000
3,0.000
4,3.102